DFT (PBE) results for a geometry-optimized LiCoH3 structure.

Cell: 3.231 3.231 3.231 Å, 89.27 89.27 89.27°
Each line ends with the local moment (μB).
Fractional coordinates of all 5 atoms:
H  0.654  0.654  0.051  -0.01
H  0.654  0.051  0.654  0.00
H  0.051  0.654  0.654  0.00
Li  0.536  0.536  0.536  0.00
Co  0.981  0.981  0.981  0.53

Values from the calculation:
total DFT energy (no corrections)	-18.2	eV per cell
volume	6.74	Å³ per atom


DFT (PBE) results for a geometry-optimized Li2CoH4 structure.

Cell: 3.226 3.226 5.329 Å, 72.38 72.38 90.00°
Each line ends with the local moment (μB).
Fractional coordinates of all 7 atoms:
Co  0.000  0.000  0.000  0.37
H  0.163  0.163  0.674  0.00
H  0.000  0.500  0.000  0.00
H  0.837  0.837  0.326  0.00
H  0.500  0.000  0.000  0.00
Li  0.640  0.640  0.719  0.01
Li  0.360  0.360  0.281  0.01

Values from the calculation:
total DFT energy (no corrections)	-26.5	eV per cell
volume	7.16	Å³ per atom
offset from the most stable computed form	0.000	eV per atom


DFT (PBE) results for a geometry-optimized LiCo2H2 structure.

Cell: 5.276 5.276 2.617 Å, 90.00 90.00 90.00°
Each line ends with the local moment (μB).
Fractional coordinates of all 10 atoms:
Li  0.500  0.500  0.000  -0.05
Li  0.000  0.000  0.000  -0.05
Co  0.653  0.847  0.500  1.19
Co  0.847  0.347  0.500  1.22
Co  0.153  0.653  0.500  1.22
Co  0.347  0.153  0.500  1.18
H  0.686  0.186  0.000  -0.01
H  0.186  0.314  0.000  -0.01
H  0.314  0.814  0.000  -0.01
H  0.814  0.686  0.000  -0.01

Values from the calculation:
total DFT energy (no corrections)	-43.4	eV per cell
volume	7.28	Å³ per atom
offset from the most stable computed form	0.140	eV per atom


DFT (PBE) results for a geometry-optimized LiCoH3 structure.

Cell: 7.369 7.369 4.566 Å, 90.00 90.00 158.90°
Each line ends with the local moment (μB).
Fractional coordinates of all 10 atoms:
H  0.644  0.002  0.750  0.00
H  0.000  0.000  0.500  0.00
H  0.002  0.644  0.250  0.00
H  0.356  0.998  0.250  0.00
H  0.998  0.356  0.750  0.00
H  0.000  0.000  0.000  0.00
Co  0.077  0.923  0.250  0.71
Co  0.923  0.077  0.750  0.72
Li  0.580  0.420  0.750  -0.01
Li  0.420  0.580  0.250  -0.01

Values from the calculation:
total DFT energy (no corrections)	-37.1	eV per cell
volume	8.92	Å³ per atom


DFT (PBE) results for a geometry-optimized LiCoH3 structure.

Cell: 14.039 4.133 5.623 Å, 90.00 157.58 90.00°
Fractional coordinates of all 20 atoms:
H  0.637  0.749  0.637
H  0.937  0.330  0.437
H  0.137  0.751  0.137
H  0.863  0.249  0.863
H  0.260  0.501  0.760
H  0.240  0.001  0.740
H  0.740  0.499  0.240
H  0.563  0.830  0.063
H  0.063  0.670  0.563
H  0.760  0.999  0.260
H  0.363  0.251  0.363
H  0.437  0.170  0.937
Li  0.604  0.250  0.604
Li  0.396  0.750  0.396
Li  0.104  0.250  0.104
Li  0.896  0.750  0.896
Co  0.390  0.774  0.890
Co  0.610  0.226  0.110
Co  0.110  0.274  0.610
Co  0.890  0.726  0.390

Values from the calculation:
total DFT energy (no corrections)	-79.2	eV per cell
volume	6.22	Å³ per atom


DFT (PBE) results for a geometry-optimized Li2CoH5 structure.

Cell: 4.255 4.255 4.255 Å, 101.23 113.75 113.75°
Each line ends with the local moment (μB).
Fractional coordinates of all 8 atoms:
H  0.531  0.762  0.762  0.00
H  0.000  0.762  0.231  0.00
H  0.000  0.257  0.257  0.00
H  0.000  0.231  0.762  0.00
H  0.469  0.231  0.231  0.00
Li  0.500  0.245  0.745  0.00
Li  0.500  0.745  0.245  0.00
Co  0.000  0.991  0.991  -0.12

Values from the calculation:
total DFT energy (no corrections)	-28.8	eV per cell
volume	7.30	Å³ per atom
offset from the most stable computed form	0.063	eV per atom


| no. | calculated density (g/cm3) |
| --- | --- |
| 1 | 3.39 |
| 2 | 2.55 |
| 3 | 5.78 |
| 4 | 2.56 |
| 5 | 3.68 |
| 6 | 2.21 |